CoBr after structural relaxation, computed with PBE-GGA.

Summary:
**ΔE to the lowest computed polymorph**: 0.65 eV/f.u.
**Uncorrected formation energy**: 211 meV per atom
**SG**: Pmmn (59)

a = 3.737 Å, b = 5.954 Å, c = 11.609 Å
α = 90.00°, β = 90.00°, γ = 90.00°
Each line ends with the local moment (μB).
Fractional coordinates of all 12 atoms:
Co  0.500  0.554  0.500  1.95
Co  0.500  0.972  0.193  1.85
Co  0.000  0.028  0.307  1.85
Co  0.000  0.446  0.000  1.95
Co  0.000  0.028  0.693  1.85
Co  0.500  0.972  0.807  1.85
Br  0.500  0.188  0.000  0.11
Br  0.000  0.700  0.164  0.09
Br  0.500  0.300  0.336  0.09
Br  0.000  0.812  0.500  0.11
Br  0.500  0.300  0.664  0.09
Br  0.000  0.700  0.836  0.09